Entry 1:
Entry from the Alexandria database: a geometry-optimized Ta2In2Rh structure (PBE).

Calculated values
ΔH_f (0 K)   523 meV/atom

a = 3.7015 Å, b = 3.7015 Å, c = 15.0414 Å
α = 90.00°, β = 90.00°, γ = 90.00°
Closest atoms and distances in Å follow each position.
Atoms (fractional coordinates):
Ta1 0.0000 0.5000 0.2500  4 Ta 2.62
Ta2 0.0000 0.5000 0.7500  4 Ta 2.62
Ta3 0.5000 0.0000 0.2500  4 Ta 2.62
Ta4 0.5000 0.0000 0.7500  4 Ta 2.62
In1 0.0000 0.0000 0.0915  1 In 2.75, 4 Rh 2.96, 4 Ta 3.02
In2 0.0000 0.0000 0.9085  1 In 2.75, 4 Rh 2.96, 4 Ta 3.02
In3 0.5000 0.5000 0.4085  1 In 2.75, 4 Rh 2.96, 4 Ta 3.02
In4 0.5000 0.5000 0.5915  1 In 2.75, 4 Rh 2.96, 4 Ta 3.02
Rh1 0.0000 0.0000 0.5000  8 In 2.96
Rh2 0.5000 0.5000 0.0000  8 In 2.96



Entry 2:
Entry from the Alexandria database: a geometry-optimized LiMnRh structure (PBE).

Calculated values
ΔH_f (0 K)   114 meV/atom

a = 9.9558 Å, b = 2.7895 Å, c = 5.6028 Å
α = 90.00°, β = 103.71°, γ = 90.00°
Closest atoms and distances in Å follow each position.
Atoms (fractional coordinates):
Li1 0.0087 0.0000 0.2946  1 Li 2.35, 4 Rh 2.57
Li2 0.4913 0.5000 0.7054  1 Li 2.35, 4 Rh 2.57
Li3 0.5087 0.5000 0.2946  1 Li 2.35, 4 Rh 2.57
Li4 0.9913 0.0000 0.7054  1 Li 2.35, 4 Rh 2.57
Mn1 0.2099 0.5000 0.6105  2 Mn 2.14
Mn2 0.2901 0.0000 0.3895  2 Mn 2.14
Mn3 0.7099 0.0000 0.6105  2 Mn 2.14
Mn4 0.7901 0.5000 0.3895  2 Mn 2.14
Rh1 0.1456 0.5000 0.0493  3 Mn 2.52-2.68, 4 Li 2.57, 5 Rh 2.67-2.82
Rh2 0.3544 0.0000 0.9507  3 Mn 2.52-2.68, 4 Li 2.57, 5 Rh 2.67-2.82
Rh3 0.6456 0.0000 0.0493  3 Mn 2.52-2.68, 4 Li 2.57, 5 Rh 2.67-2.82
Rh4 0.8544 0.5000 0.9507  3 Mn 2.52-2.68, 4 Li 2.57, 5 Rh 2.67-2.82



Entry 3:
Entry from the Alexandria database: a geometry-optimized TbIrF structure (PBE).

Calculated values
Energy relative to the elements, uncorrected   -2.149 eV/atom

a = 7.3679 Å, b = 7.3679 Å, c = 7.5542 Å
α = 90.00°, β = 90.00°, γ = 147.15°
Closest atoms and distances in Å follow each position.
Atoms (fractional coordinates):
Tb1 0.1308 0.8692 0.9756  3 F 2.32-2.52
Tb2 0.3692 0.6308 0.4756  3 F 2.32-2.52
Tb3 0.6308 0.3692 0.5244  3 F 2.32-2.52
Tb4 0.8692 0.1308 0.0244  3 F 2.32-2.52
Ir1 0.0135 0.9865 0.3383  3 Ir 2.47
Ir2 0.4865 0.5135 0.8383  3 Ir 2.47
Ir3 0.5135 0.4865 0.1617  3 Ir 2.47
Ir4 0.9865 0.0135 0.6617  3 Ir 2.47
F1 0.2207 0.7793 0.6069  3 Tb 2.32-2.52
F2 0.2793 0.7207 0.1069  3 Tb 2.32-2.52
F3 0.7207 0.2793 0.8931  3 Tb 2.32-2.52
F4 0.7793 0.2207 0.3931  3 Tb 2.32-2.52



Entry 4:
Entry from the Alexandria database: a geometry-optimized Re2Os5 structure (PBE).

Calculated values
ΔH_f (0 K)   136 meV/atom

a = 4.3327 Å, b = 17.2394 Å, c = 2.7585 Å
α = 90.00°, β = 90.00°, γ = 90.00°
Closest atoms and distances in Å follow each position.
Atoms (fractional coordinates):
Re1 0.0000 0.0714 0.0000  1 Re 2.46, 4 Os 2.60-2.69
Re2 0.0000 0.9286 0.0000  1 Re 2.46, 4 Os 2.60-2.69
Re3 0.5000 0.4286 0.0000  1 Re 2.46, 4 Os 2.60-2.69
Re4 0.5000 0.5714 0.0000  1 Re 2.46, 4 Os 2.60-2.69
Os1 0.0000 0.2053 0.5000  10 Os 2.66-2.78, 2 Re 2.69
Os2 0.0000 0.3453 0.0000  2 Re 2.60, 8 Os 2.71-2.78
Os3 0.0000 0.5000 0.5000  6 Os 2.76-3.00, 8 Re 2.85
Os4 0.0000 0.6547 0.0000  2 Re 2.60, 8 Os 2.71-2.78
Os5 0.0000 0.7947 0.5000  10 Os 2.66-2.78, 2 Re 2.69
Os6 0.5000 0.0000 0.5000  6 Os 2.76-3.00, 8 Re 2.85
Os7 0.5000 0.1547 0.0000  2 Re 2.60, 8 Os 2.71-2.78
Os8 0.5000 0.2947 0.5000  10 Os 2.66-2.78, 2 Re 2.69
Os9 0.5000 0.7053 0.5000  10 Os 2.66-2.78, 2 Re 2.69
Os10 0.5000 0.8453 0.0000  2 Re 2.60, 8 Os 2.71-2.78



Entry 5:
Entry from the Alexandria database: a geometry-optimized Na2Os2Au structure (PBE).

Calculated values
ΔH_f (0 K)   833 meV/atom

a = 6.5745 Å, b = 6.5745 Å, c = 4.9306 Å
α = 90.00°, β = 90.00°, γ = 90.00°
Closest atoms and distances in Å follow each position.
Atoms (fractional coordinates):
Na1 0.1755 0.3245 0.0000  6 Os 3.11-3.16, 5 Na 3.26-3.43, 4 Au 3.46
Na2 0.3245 0.8245 0.0000  6 Os 3.11-3.16, 5 Na 3.26-3.43, 4 Au 3.46
Na3 0.6755 0.1755 0.0000  6 Os 3.11-3.16, 5 Na 3.26-3.43, 4 Au 3.46
Na4 0.8245 0.6755 0.0000  6 Os 3.11-3.16, 5 Na 3.26-3.43, 4 Au 3.46
Os1 0.1212 0.6212 0.5000  1 Os 2.25
Os2 0.3788 0.1212 0.5000  1 Os 2.25
Os3 0.6212 0.8788 0.5000  1 Os 2.25
Os4 0.8788 0.3788 0.5000  1 Os 2.25
Au1 0.0000 0.0000 0.5000  4 Os 2.61
Au2 0.5000 0.5000 0.5000  4 Os 2.61



Entry 6:
Entry from the Alexandria database: a geometry-optimized Cs9K4Hg structure (PBE).

Calculated values
ΔH_f (0 K)   -39 meV/atom

a = 14.2745 Å, b = 14.2745 Å, c = 14.5496 Å
α = 90.00°, β = 90.00°, γ = 120.00°
Closest atoms and distances in Å follow each position.
Atoms (fractional coordinates):
Cs1 0.0754 0.5377 0.2500  2 K 4.84, 1 Hg 5.05, 4 Cs 5.18
Cs2 0.2094 0.4188 0.5636  1 Hg 4.09
Cs3 0.2094 0.4188 0.9364  1 Hg 4.09
Cs4 0.2094 0.7906 0.5636  1 Hg 4.09
Cs5 0.2094 0.7906 0.9364  1 Hg 4.09
Cs6 0.4188 0.2094 0.0636  1 Hg 4.09
Cs7 0.4188 0.2094 0.4364  1 Hg 4.09
Cs8 0.4623 0.5377 0.2500  2 K 4.84, 1 Hg 5.05, 4 Cs 5.18
Cs9 0.4623 0.9246 0.2500  2 K 4.84, 1 Hg 5.05, 4 Cs 5.18
Cs10 0.5377 0.0754 0.7500  2 K 4.84, 1 Hg 5.05, 4 Cs 5.18
Cs11 0.5377 0.4623 0.7500  2 K 4.84, 1 Hg 5.05, 4 Cs 5.18
Cs12 0.5812 0.7906 0.5636  1 Hg 4.09
Cs13 0.5812 0.7906 0.9364  1 Hg 4.09
Cs14 0.7906 0.2094 0.0636  1 Hg 4.09
Cs15 0.7906 0.2094 0.4364  1 Hg 4.09
Cs16 0.7906 0.5812 0.0636  1 Hg 4.09
Cs17 0.7906 0.5812 0.4364  1 Hg 4.09
Cs18 0.9246 0.4623 0.7500  2 K 4.84, 1 Hg 5.05, 4 Cs 5.18
K1 0.0000 0.0000 0.0000  6 K 4.52
K2 0.0000 0.0000 0.5000  6 K 4.52
K3 0.1082 0.2165 0.2500  4 K 4.52-4.63, 2 Cs 4.84
K4 0.1082 0.8918 0.2500  4 K 4.52-4.63, 2 Cs 4.84
K5 0.2165 0.1082 0.7500  4 K 4.52-4.63, 2 Cs 4.84
K6 0.7835 0.8918 0.2500  4 K 4.52-4.63, 2 Cs 4.84
K7 0.8918 0.1082 0.7500  4 K 4.52-4.63, 2 Cs 4.84
K8 0.8918 0.7835 0.7500  4 K 4.52-4.63, 2 Cs 4.84
Hg1 0.3333 0.6667 0.7500  6 Cs 4.09
Hg2 0.6667 0.3333 0.2500  6 Cs 4.09



Computed values of calculated total energy (unit: eV/atom) for the preceding records, in sequence: -6.7839; -6.0311; -7.2699; -11.4416; -4.8417; -0.9227.